# DyNpCr2O6 | Alexandria via LeMat-Bulk | PBE with a Hubbard U | relaxed
data_DyNpCr2O6
_chemical_formula_sum 'Dy1 Np1 Cr2 O6'
_symmetry_space_group_name_H-M 'P 1'
_symmetry_Int_Tables_number 1
_cell_length_a 5.440
_cell_length_b 5.575
_cell_length_c 5.733
_cell_angle_alpha 62.01
_cell_angle_beta 89.77
_cell_angle_gamma 61.26
loop_
_symmetry_equiv_pos_as_xyz
'x,y,z'
loop_
_atom_site_label
_atom_site_type_symbol
_atom_site_fract_x
_atom_site_fract_y
_atom_site_fract_z
_atom_site_occupancy
Dy1 Dy 0.000 0.000 0.000 1
Np1 Np 0.501 0.005 0.494 1
Cr1 Cr 0.291 0.427 0.869 1
Cr2 Cr 0.786 0.438 0.361 1
O1 O 0.086 0.505 0.159 1
O2 O 0.193 0.883 0.678 1
O3 O 0.405 0.955 0.146 1
O4 O 0.571 0.271 0.658 1
O5 O 0.663 0.263 0.162 1
O6 O 0.927 0.514 0.657 1
# Total magnetization   10.0 μB per formula unit
# Raw total energy   -87.58 eV/cell